[1]
Entry from Alexandria via LeMat-Bulk: an optimized crystal structure of KTl2Sb (PBE-GGA).

a = 3.5943 Å, b = 5.4532 Å, c = 6.7824 Å
α = 90.00°, β = 98.14°, γ = 90.00°
Positions (direct):
K 0.0000 0.0000 0.0000
Tl 0.2896 0.5000 0.7201
Tl 0.7104 0.5000 0.2799
Sb 0.5000 0.0000 0.5000

Summary:
raw total energy	-2.629	eV per atom
symmetry	P2/m (10)
N(E_F)	1.13	states/eV/cell

=====

[2]
Entry from Alexandria via LeMat-Bulk: an optimized crystal structure of ZrOsW (PBE-GGA).

a = 4.5312 Å, b = 4.5312 Å, c = 2.8768 Å
α = 90.00°, β = 90.00°, γ = 120.00°
Positions (direct):
Zr 0.0000 0.0000 0.0000
Os 0.3333 0.6667 0.3494
W 0.6667 0.3333 0.6459

Summary:
raw total energy	-10.855	eV per atom
E above lowest polymorph	160.7	meV/atom
symmetry	P3m1 (156)
N(E_F)	1.80	states/eV/cell
DFT formation energy	0.06	eV per atom

=====

[3]
Entry from Alexandria via LeMat-Bulk: an optimized crystal structure of Zr5Ti7O24 (PBE-GGA).

a = 4.8251 Å, b = 5.6172 Å, c = 15.1611 Å
α = 90.00°, β = 91.80°, γ = 90.00°
Positions (direct):
Zr 0.0000 0.0000 0.0000
Zr 0.0000 0.3965 0.5000
Zr 0.0168 0.9795 0.3346
Zr 0.5000 0.4929 0.0000
Zr 0.9832 0.9795 0.6654
Ti 0.0184 0.3764 0.1712
Ti 0.4802 0.5024 0.6701
Ti 0.4824 0.8745 0.8334
Ti 0.5000 0.8573 0.5000
Ti 0.5176 0.8745 0.1666
Ti 0.5198 0.5024 0.3299
Ti 0.9816 0.3764 0.8288
O 0.1956 0.3004 0.9357
O 0.2052 0.0695 0.7818
O 0.2236 0.2900 0.6157
O 0.2337 0.5732 0.7711
O 0.2449 0.0755 0.4488
O 0.2505 0.3027 0.2766
O 0.2516 0.7693 0.5964
O 0.2667 0.0819 0.1108
O 0.2677 0.5777 0.1138
O 0.2834 0.7930 0.9381
O 0.2918 0.5816 0.4308
O 0.3291 0.7994 0.2731
O 0.6709 0.7994 0.7269
O 0.7082 0.5816 0.5692
O 0.7166 0.7930 0.0619
O 0.7323 0.5777 0.8862
O 0.7333 0.0819 0.8892
O 0.7484 0.7693 0.4036
O 0.7495 0.3027 0.7234
O 0.7551 0.0755 0.5512
O 0.7663 0.5732 0.2289
O 0.7764 0.2900 0.3843
O 0.7948 0.0695 0.2182
O 0.8044 0.3004 0.0643

Summary:
raw total energy	-9.155	eV per atom
E above lowest polymorph	9.7	meV/atom
symmetry	P2 (3)
N(E_F)	0.00	states/eV/cell

=====

[4]
Entry from Alexandria via LeMat-Bulk: an optimized crystal structure of BaPd (PBE-GGA).

a = 7.4815 Å, b = 7.4815 Å, c = 7.4815 Å
α = 144.27°, β = 64.21°, γ = 128.56°
Positions (direct):
Ba 0.0000 0.0000 0.0000
Ba 0.4967 0.1941 0.3026
Ba 0.8915 0.1941 0.6974
Pd 0.1365 0.7479 0.3886
Pd 0.3592 0.7479 0.6113
Pd 0.4824 0.4824 0.0000

Summary:
raw total energy	-3.907	eV per atom
symmetry	Imm2 (44)
N(E_F)	1.10	states/eV/cell
DFT formation energy	-0.35	eV per atom

=====

[5]
Entry from Alexandria via LeMat-Bulk: an optimized crystal structure of Dy2TmPaBi4 (PBE-GGA).

a = 7.7359 Å, b = 4.4570 Å, c = 7.7447 Å
α = 90.00°, β = 109.26°, γ = 90.00°
Positions (direct):
Dy 0.0000 0.0000 0.0000
Dy 0.5000 0.5000 0.0000
Tm 0.0000 0.5000 0.5000
Pa 0.5000 0.0000 0.5000
Bi 0.2471 0.5000 0.2493
Bi 0.2477 0.0000 0.7477
Bi 0.7523 0.0000 0.2523
Bi 0.7529 0.5000 0.7507

Summary:
raw total energy	-5.467	eV per atom
symmetry	P2/m (10)
N(E_F)	7.29	states/eV/cell
DFT formation energy	-0.63	eV per atom

=====

[6]
Entry from Alexandria via LeMat-Bulk: an optimized crystal structure of Nd2PaCl (PBE-GGA).

a = 11.4296 Å, b = 11.4296 Å, c = 11.4296 Å
α = 16.81°, β = 16.81°, γ = 16.81°
Positions (direct):
Nd 0.0975 0.0975 0.0975
Nd 0.9025 0.9025 0.9025
Pa 0.0000 0.0000 0.0000
Cl 0.5000 0.5000 0.5000

Summary:
raw total energy	-5.561	eV per atom
symmetry	R-3m (166)
N(E_F)	3.35	states/eV/cell

=====

Q: Which formula does entry 3 have?
A: Zr5Ti7O24